(1)
The following is a PBE calculation of a relaxed structure of KZrSc2, from Alexandria via LeMat-Bulk.

Cell: 3.153 5.158 7.963 Å, 90.00 100.96 90.00°
Fractional positions:
1 K 0.000 0.000 0.000
2 Zr 0.320 0.500 0.658
3 Sc 0.662 0.500 0.329
4 Sc 0.756 0.000 0.525

---

(2)
The following is a PBE calculation of a relaxed structure of InCuHg2, from Alexandria via LeMat-Bulk.

Cell: 4.922 4.922 3.788 Å, 90.00 90.00 108.42°
Fractional positions:
1 In 0.000 0.000 0.000
2 Cu 0.500 0.500 0.000
3 Hg 0.000 0.500 0.500
4 Hg 0.500 0.000 0.500

---

How do the records compare in size of the total moment? In the order shown, they have 0.00; 0.00 Bohr magnetons per cell.
How do the records compare in energy relative to the elements? In the order shown, they have 0.49; 0.20 eV per atom.